Record 1
This record from the Alexandria database describes Sb2TeCl after structural relaxation. The functional is GGA-PBEsol.

CIF file:
```
data_Sb2TeCl
_chemical_formula_sum 'Sb2 Te1 Cl1'
_symmetry_space_group_name_H-M 'P m m m'
_symmetry_Int_Tables_number 47
_cell_length_a 3.899
_cell_length_b 4.625
_cell_length_c 5.600
_cell_angle_alpha 90.00
_cell_angle_beta 90.00
_cell_angle_gamma 90.00
loop_
_symmetry_equiv_pos_as_xyz
'x,y,z'
'-x,-y,-z'
'-x,-y,z'
'x,y,-z'
'x,-y,-z'
'-x,y,z'
'-x,y,-z'
'x,-y,z'
loop_
_atom_site_label
_atom_site_fract_x
_atom_site_fract_y
_atom_site_fract_z
_atom_site_occupancy
Sb1 0.000 0.000 0.000 1
Sb2 0.500 0.000 0.500 1
Te1 0.000 0.500 0.500 1
Cl1 0.500 0.500 0.000 1
```

- volume (Å³/atom) = 25.24
- excess energy over the best structure of this formula in the dataset (eV/atom) = 0.149

---

Record 2
This record from the Alexandria database describes LiCaRh2 after structural relaxation. The functional is GGA-PBEsol.

CIF file:
```
data_LiCaRh2
_chemical_formula_sum 'Li1 Ca1 Rh2'
_symmetry_space_group_name_H-M 'P 4/m m m'
_symmetry_Int_Tables_number 123
_symmetry_space_group_name_Hall '-P 4 2'
_cell_length_a 3.882
_cell_length_b 3.882
_cell_length_c 4.201
_cell_angle_alpha 90.00
_cell_angle_beta 90.00
_cell_angle_gamma 90.00
loop_
_atom_site_label
_atom_site_fract_x
_atom_site_fract_y
_atom_site_fract_z
_atom_site_occupancy
Li1 0.000 0.000 0.000 1
Ca1 0.500 0.500 0.000 1
Rh1 0.000 0.500 0.500 1
```

- volume (Å³/atom) = 15.82
- total energy (eV/atom) = -5.114

---

Record 3
This record from the Alexandria database describes BeCr2 after structural relaxation. The functional is GGA-PBEsol.

CIF file:
```
data_BeCr2
_chemical_formula_sum 'Be1 Cr2'
_symmetry_space_group_name_H-M 'P -3 m 1'
_symmetry_Int_Tables_number 164
_symmetry_space_group_name_Hall '-P 3 2"'
_cell_length_a 3.8842
_cell_length_b 3.8842
_cell_length_c 2.3451
_cell_angle_alpha 90.00
_cell_angle_beta 90.00
_cell_angle_gamma 120.00
loop_
_atom_site_label
_atom_site_fract_x
_atom_site_fract_y
_atom_site_fract_z
_atom_site_occupancy
Be1 0.0000 0.0000 0.0000 1
Cr1 0.3333 0.6667 0.3647 1
```

- volume (Å³/atom) = 10.21
- total energy (eV/atom) = -8.158

---

Record 4
This record from the Alexandria database describes LiScPdF2 after structural relaxation. The functional is GGA-PBEsol.

CIF file:
```
data_LiScPdF2
_chemical_formula_sum 'Li1 Sc1 Pd1 F2'
_symmetry_space_group_name_H-M 'P 4/m m m'
_symmetry_Int_Tables_number 123
_symmetry_space_group_name_Hall '-P 4 2'
_cell_length_a 3.980
_cell_length_b 3.980
_cell_length_c 5.346
_cell_angle_alpha 90.00
_cell_angle_beta 90.00
_cell_angle_gamma 90.00
loop_
_atom_site_label
_atom_site_fract_x
_atom_site_fract_y
_atom_site_fract_z
_atom_site_occupancy
Li1 0.000 0.000 0.000 1
Sc1 0.500 0.500 0.500 1
Pd1 0.500 0.500 0.000 1
F1 0.000 0.500 0.500 1
```

- volume (Å³/atom) = 16.94
- total energy (eV/atom) = -5.675